{"formula": "CaReAs2", "functional": "PBEsol", "state": "relaxed", "dft_energy_ev_per_atom": -6.256, "dos_at_fermi_per_ev_atom": 0.899, "formation_enthalpy_0k_ev_per_atom": 0.1631, "space_group": "Pmmm", "cell": [[3.300, 0.000, 0.000], [0.000, 4.444, 0.000], [0.000, 0.000, 4.731]], "species": ["Ca", "Re", "As", "As"], "frac_coords": [[0.000, 0.000, 0.000], [0.000, 0.500, 0.500], [0.500, 0.000, 0.500], [0.500, 0.500, 0.000]]}

***

{"formula": "Al13Si5H14ClO34F4", "functional": "PBEsol", "state": "relaxed", "dft_energy_ev_per_atom": -6.897, "dos_at_fermi_per_ev_atom": 0.000, "space_group": "P1", "cell": [[9.795, 0.000, 0.000], [4.861, 8.526, 0.000], [4.884, 2.784, 8.053]], "species": ["Al", "Al", "Al", "Al", "Al", "Al", "Al", "Al", "Al", "Al", "Al", "Al", "Al", "Si", "Si", "Si", "Si", "Si", "H", "H", "H", "H", "H", "H", "H", "H", "H", "H", "H", "H", "H", "H", "Cl", "O", "O", "O", "O", "O", "O", "O", "O", "O", "O", "O", "O", "O", "O", "O", "O", "O", "O", "O", "O", "O", "O", "O", "O", "O", "O", "O", "O", "O", "O", "O", "O", "O", "O", "F", "F", "F", "F"], "frac_coords": [[0.000, 0.000, 0.000], [0.000, 0.341, 0.302], [0.004, 0.705, 0.297], [0.292, 0.332, 0.020], [0.292, 0.721, 0.637], [0.296, 0.707, 0.993], [0.635, 0.708, 0.297], [0.637, 0.702, 0.005], [0.639, 0.000, 0.003], [0.985, 0.690, 0.984], [0.995, 0.004, 0.645], [0.998, 0.338, 0.009], [0.999, 0.710, 0.635], [0.346, 0.049, 0.898], [0.346, 0.594, 0.351], [0.347, 0.054, 0.355], [0.481, 0.189, 0.492], [0.889, 0.052, 0.352], [0.178, 0.921, 0.772], [0.245, 0.451, 0.750], [0.439, 0.403, 0.713], [0.578, 0.618, 0.589], [0.583, 0.570, 0.901], [0.584, 0.287, 0.907], [0.708, 0.769, 0.718], [0.709, 0.416, 0.436], [0.721, 0.032, 0.169], [0.738, 0.979, 0.746], [0.748, 0.452, 0.178], [0.879, 0.287, 0.890], [0.891, 0.291, 0.592], [0.893, 0.571, 0.587], [0.732, 0.438, 0.739], [0.055, 0.755, 0.761], [0.055, 0.757, 0.070], [0.058, 0.012, 0.787], [0.062, 0.463, 0.061], [0.229, 0.943, 0.507], [0.232, 0.936, 0.966], [0.233, 0.211, 0.966], [0.233, 0.215, 0.244], [0.233, 0.662, 0.511], [0.235, 0.654, 0.237], [0.313, 0.752, 0.786], [0.327, 0.467, 0.771], [0.415, 0.121, 0.424], [0.418, 0.122, 0.694], [0.418, 0.391, 0.428], [0.506, 0.663, 0.239], [0.507, 0.937, 0.964], [0.510, 0.941, 0.240], [0.511, 0.221, 0.955], [0.512, 0.653, 0.960], [0.514, 0.653, 0.518], [0.685, 0.123, 0.422], [0.759, 0.761, 0.064], [0.774, 0.480, 0.333], [0.775, 0.029, 0.782], [0.775, 0.039, 0.052], [0.775, 0.748, 0.778], [0.781, 0.482, 0.056], [0.951, 0.222, 0.519], [0.952, 0.938, 0.240], [0.955, 0.651, 0.517], [0.955, 0.940, 0.512], [0.958, 0.211, 0.240], [0.960, 0.218, 0.951], [0.038, 0.488, 0.331], [0.055, 0.480, 0.783], [0.330, 0.482, 0.041], [0.780, 0.745, 0.335]]}